Entry 1:
Density functional theory data (PBE) for a relaxed SrLaCl2 crystal.

Summary:
Formation energy without anion corrections ... -6.3 eV/f.u.
Polymorph energy (0 for the lowest one) ... 0 meV/atom
Energy ... -4.155 eV/atom
Theoretical density ... 4.01 Mg/m³

```
SrLaCl2
1.0
3.975 0.000 0.000
0.000 3.975 0.000
0.000 0.000 7.790
Sr Cl La
1 2 1
direct
0.500 0.500 0.826
0.000 0.000 0.998
0.500 0.500 0.273
0.000 0.000 0.403
```



Entry 2:
Density functional theory data (PBE) for a relaxed Sm2ScSe3 crystal.

Summary:
Formation energy without anion corrections ... -10.4 eV/f.u.
Polymorph energy (0 for the lowest one) ... 0 meV/atom
Energy ... -6.100 eV/atom
Theoretical density ... 6.73 Mg/m³

```
Sm2ScSe3
1.0
4.071 0.000 0.000
-2.035 3.525 0.000
0.000 0.000 10.009
Sm Sc Se
2 1 3
direct
0.667 0.333 0.326
0.333 0.667 0.674
0.000 0.000 0.000
0.667 0.333 0.853
0.333 0.667 0.147
0.000 0.000 0.500
```



Entry 3:
Density functional theory data (PBE) for a relaxed NaLi2W crystal.

Summary:
Polymorph energy (0 for the lowest one) ... 0 meV/atom
Energy ... -3.234 eV/atom
Theoretical density ... 5.19 Mg/m³

```
NaLi2W
1.0
3.265 -3.283 0.286
1.363 -1.561 4.150
-1.136 -4.289 1.353
Na W Li
1 1 2
direct
0.000 0.000 0.000
0.500 0.500 0.500
0.250 0.250 0.250
0.750 0.750 0.750
```



Entry 4:
Density functional theory data (PBE) for a relaxed NbCoPb2 crystal.

Summary:
Polymorph energy (0 for the lowest one) ... 0 meV/atom
Energy ... -5.462 eV/atom
Theoretical density ... 11.73 Mg/m³

```
NbCoPb2
1.0
4.044 -2.611 -0.496
2.789 -0.897 3.852
0.231 -4.474 1.830
Pb Nb Co
2 1 1
direct
0.250 0.250 0.250
0.750 0.750 0.750
0.500 0.500 0.500
0.000 0.000 0.000
```



Entry 5:
Density functional theory data (PBE) for a relaxed K2CeAgO4 crystal.

Summary:
Formation energy without anion corrections ... -13.7 eV/f.u.
Energy ... -5.559 eV/atom
Theoretical density ... 4.28 Mg/m³

```
K2CeAgO4
1.0
-1.552 -5.239 2.055
5.287 0.028 -2.473
0.572 4.035 4.179
K Ce Ag O
2 1 1 4
direct
0.500 0.750 0.250
0.000 0.000 0.000
0.500 0.250 0.750
0.000 0.500 0.500
0.553 0.294 0.418
0.123 0.258 0.706
0.877 0.582 0.135
0.447 0.865 0.742
```



Entry 6:
Density functional theory data (PBE) for a relaxed Y2MgRe2 crystal.

Summary:
Energy ... -7.677 eV/atom
Theoretical density ... 8.37 Mg/m³

```
Y2MgRe2
1.0
-5.758 -4.277 -0.036
3.559 -4.757 -4.018
1.465 -2.003 3.669
Y Re Mg
4 4 2
direct
0.175 0.675 0.500
0.675 0.825 0.500
0.825 0.325 0.500
0.325 0.175 0.500
0.384 0.884 0.000
0.884 0.616 0.000
0.616 0.116 0.000
0.116 0.384 0.000
0.000 0.000 0.000
0.500 0.500 0.000
```



Entry 7:
Density functional theory data (PBE) for a relaxed RbGaGe crystal.

Summary:
Energy ... -2.765 eV/atom
Theoretical density ... 3.63 Mg/m³

```
RbGaGe
1.0
13.414 0.000 0.000
0.000 13.414 0.000
6.707 6.707 2.315
Ge Ga Rb
4 4 4
direct
0.407 0.000 0.000
0.593 0.000 0.000
0.000 0.407 0.000
0.000 0.593 0.000
0.777 0.777 0.000
0.223 0.223 0.000
0.223 0.777 0.000
0.777 0.223 0.000
0.723 0.500 0.000
0.277 0.500 0.000
0.500 0.723 0.000
0.500 0.277 0.000
```



Entry 8:
Density functional theory data (PBE) for a relaxed Sr2Bi4Pd3Pb crystal.

Summary:
Energy ... -4.270 eV/atom
Theoretical density ... 8.95 Mg/m³

```
Sr2Bi4Pd3Pb
1.0
-3.101 3.459 -0.960
-2.540 -3.010 -2.644
-6.781 -3.246 10.209
Sr Bi Pd Pb
2 4 3 1
direct
0.500 0.000 0.237
0.000 0.500 0.763
0.500 0.500 0.000
0.000 0.000 0.000
0.500 0.000 0.659
0.000 0.500 0.341
0.000 0.000 0.500
0.500 0.000 0.874
0.000 0.500 0.126
0.500 0.500 0.500
```



Entry 9:
Density functional theory data (PBE) for a relaxed LaTcAg2 crystal.

Summary:
Polymorph energy (0 for the lowest one) ... 396 meV/atom
Energy ... -4.640 eV/atom
Theoretical density ... 9.36 Mg/m³

```
LaTcAg2
1.0
-2.569 -9.497 3.810
0.090 -9.215 5.137
-2.344 -8.047 6.408
Ag La Tc
2 1 1
direct
0.010 0.010 0.010
0.490 0.490 0.490
0.250 0.250 0.250
0.750 0.750 0.750
```



Entry 10:
Density functional theory data (PBE) for a relaxed Y3NCl3 crystal.

Summary:
Formation energy without anion corrections ... -12.7 eV/f.u.
Energy ... -6.561 eV/atom
Theoretical density ... 3.72 Mg/m³

```
Y3NCl3
1.0
-3.385 1.279 5.213
-0.848 -4.483 4.411
6.830 1.918 7.827
Y N Cl
6 2 6
direct
0.955 0.305 0.134
0.605 0.955 0.134
0.305 0.605 0.134
0.695 0.395 0.866
0.395 0.045 0.866
0.045 0.695 0.866
0.667 0.667 0.000
0.333 0.333 0.000
0.223 0.896 0.311
0.570 0.223 0.311
0.896 0.570 0.311
0.104 0.430 0.689
0.430 0.777 0.689
0.777 0.104 0.689
```



Entry 11:
Density functional theory data (PBE) for a relaxed Ac4Ni2N crystal.

Summary:
Formation energy without anion corrections ... -2.3 eV/f.u.
Energy ... -5.511 eV/atom
Theoretical density ... 8.73 Mg/m³

```
Ac4Ni2N
1.0
5.274 0.000 0.000
0.000 5.274 0.000
-2.637 -2.637 7.113
Ni Ac N
2 4 1
direct
0.611 0.611 0.223
0.389 0.389 0.777
0.809 0.809 0.619
0.191 0.191 0.381
0.000 0.500 0.000
0.500 0.000 0.000
0.000 0.000 0.000
```



Entry 12:
Density functional theory data (PBE) for a relaxed Y2TeOs crystal.

Summary:
Formation energy without anion corrections ... 0.1 eV/f.u.
Energy ... -6.790 eV/atom
Theoretical density ... 9.23 Mg/m³

```
Y2TeOs
1.0
5.015 0.000 0.000
2.507 4.343 0.000
2.507 1.448 4.095
Os Te Y
1 1 2
direct
0.500 0.500 0.500
0.750 0.750 0.750
0.000 0.000 0.000
0.250 0.250 0.250
```